# 1
Computed, not measured: an optimized crystal structure of Pm3Pr3Y at the PBE level of DFT. Values from VASP.

Properties
space-group type: No. 176
crystal system: hexagonal
total DFT energy (no corrections): -4.98 eV/atom
volume: 494 Å³/cell
energy of formation from the pure elements: 0.03 eV/atom
D(E_F): 24.460 states/eV per cell

Geometry as Quantum ESPRESSO input:
```
&SYSTEM
  ibrav = 0, nat = 14, ntyp = 3
/
ATOMIC_SPECIES
Pm 145.00 Pm.upf
Pr 140.91 Pr.upf
Y 88.91 Y.upf
CELL_PARAMETERS angstrom
9.8277 0.0000 0.0000
-4.9138 8.5110 0.0000
0.0000 0.0000 5.9036
ATOMIC_POSITIONS angstrom
Pm -0.7290 2.0198 1.4759
Pm -2.8002 8.1324 1.4759
Pm 1.3847 1.6412 4.4277
Pm 3.5291 6.8698 1.4759
Pm 7.7140 0.3786 4.4277
Pm 5.6428 6.4912 4.4277
Pr -1.4013 4.0364 4.4277
Pr -0.7176 7.7064 4.4277
Pr 2.7950 3.2317 1.4759
Pr 2.1189 5.2793 4.4277
Pr 5.6315 0.8047 1.4759
Pr 6.3151 4.4746 1.4759
Y 0.0000 5.6740 1.4759
Y 4.9139 2.8370 4.4277
```

# 2
Computed, not measured: an optimized crystal structure of SmErPSe at the PBE level of DFT. Values from VASP.

Properties
space-group type: No. 160
crystal system: trigonal
total DFT energy (no corrections): -6.26 eV/atom
volume: 97 Å³/cell
E_form (uncorrected): -1.719 eV per atom
D(E_F): 2.560 states/eV per cell

Geometry as Quantum ESPRESSO input:
```
&SYSTEM
  ibrav = 0, nat = 4, ntyp = 4
/
ATOMIC_SPECIES
Sm 150.36 Sm.upf
Er 167.26 Er.upf
P 30.97 P.upf
Se 78.96 Se.upf
CELL_PARAMETERS angstrom
1.9973 1.1532 7.0150
-1.9973 1.1532 7.0150
0.0000 -2.3063 7.0150
ATOMIC_POSITIONS angstrom
Sm 0.0000 0.0000 0.0000
Er 0.0000 0.0000 17.1652
P 0.0000 0.0000 8.6786
Se 0.0000 0.0000 4.9900
```

# 3
Computed, not measured: an optimized crystal structure of SrTiVAg2 at the PBE level of DFT. Values from VASP.

Properties
space-group type: No. 123
crystal system: tetragonal
total DFT energy (no corrections): -3.09 eV/atom
volume: 145 Å³/cell
energy of formation from the pure elements: 1.79 eV/atom
D(E_F): 8.711 states/eV per cell

Geometry as Quantum ESPRESSO input:
```
&SYSTEM
  ibrav = 0, nat = 5, ntyp = 4
/
ATOMIC_SPECIES
Sr 87.62 Sr.upf
Ti 47.87 Ti.upf
V 50.94 V.upf
Ag 107.87 Ag.upf
CELL_PARAMETERS angstrom
5.2563 0.0000 0.0000
0.0000 5.2563 0.0000
0.0000 0.0000 5.2365
ATOMIC_POSITIONS angstrom
Sr 0.0000 0.0000 0.0000
Ti 2.6282 2.6282 2.6182
V 0.0000 0.0000 2.6182
Ag 0.0000 2.6282 0.0000
Ag 2.6282 0.0000 0.0000
```

# 4
Computed, not measured: an optimized crystal structure of Li3Nd2Pb4 at the PBE level of DFT. Values from VASP.

Properties
space-group type: No. 64
crystal system: orthorhombic
total DFT energy (no corrections): -3.75 eV/atom
volume: 451 Å³/cell
energy of formation from the pure elements: -0.40 eV/atom
D(E_F): 8.235 states/eV per cell

Geometry as Quantum ESPRESSO input:
```
&SYSTEM
  ibrav = 0, nat = 18, ntyp = 3
/
ATOMIC_SPECIES
Li 6.94 Li.upf
Nd 144.24 Nd.upf
Pb 207.20 Pb.upf
CELL_PARAMETERS angstrom
3.2865 -8.2504 0.0000
3.2865 8.2504 0.0000
0.0000 0.0000 8.3164
ATOMIC_POSITIONS angstrom
Li 0.0000 0.0000 0.0000
Li 1.6432 3.7078 2.0791
Li 1.6432 -3.7078 6.2373
Li 3.2865 0.0000 4.1582
Li 4.9297 3.7078 2.0791
Li 4.9297 -3.7078 6.2373
Nd 3.2865 6.4448 3.3719
Nd 3.2865 1.8056 7.5301
Nd 3.2865 -1.8056 0.7863
Nd 3.2865 -6.4448 4.9444
Pb 3.2865 5.2726 0.2042
Pb 1.6432 0.8636 2.0791
Pb 1.6432 -0.8636 6.2373
Pb 3.2865 2.9778 4.3624
Pb 3.2865 -2.9778 3.9540
Pb 4.9297 0.8636 2.0791
Pb 4.9297 -0.8636 6.2373
Pb 3.2865 -5.2726 8.1122
```

Question: The lowest D(E_F) belongs to which entry?
Answer: SmErPSe

Question: The highest volume belongs to which entry?
Answer: Pm3Pr3Y